Record 1
# SrLi2Zn2

A relaxed structure of SrLi2Zn2 (PBE, the Alexandria database).

POSCAR file:
```
SrLi2Zn2
1.0
-4.080 7.541 1.888
4.080 -7.541 1.888
4.080 7.541 -1.888
Sr Li Zn
2 4 4
direct
0.490 0.240 0.250
0.510 0.760 0.750
0.320 0.000 0.820
0.320 0.500 0.320
0.680 0.000 0.180
0.680 0.500 0.680
0.188 0.749 0.439
0.190 0.251 0.939
0.810 0.749 0.061
0.812 0.251 0.561
```

Output
Formation energy (kJ/mol of formula units): -29.8
Calculated density (g/cm3): 3.3
Total DFT energy (no corrections) (eV per atom): -1.673
Total magnetic moment (μB per cell): 0.00

---

Record 2
# Sr2LiZn5

A relaxed structure of Sr2LiZn5 (PBE, the Alexandria database).

POSCAR file:
```
Sr2LiZn5
1.0
2.303 -8.548 0.000
2.303 8.548 0.000
0.000 0.000 9.410
Sr Li Zn
4 2 10
direct
0.000 0.000 0.000
0.000 0.000 0.500
0.204 0.796 0.750
0.796 0.204 0.250
0.440 0.560 0.250
0.560 0.440 0.750
0.184 0.816 0.112
0.184 0.816 0.388
0.344 0.656 0.014
0.344 0.656 0.486
0.401 0.599 0.750
0.599 0.401 0.250
0.656 0.344 0.514
0.656 0.344 0.986
0.816 0.184 0.612
0.816 0.184 0.888
```

Output
Formation energy (kJ/mol of formula units): -121.8
Calculated density (g/cm3): 4.6
Total DFT energy (no corrections) (eV per atom): -1.614
Total magnetic moment (μB per cell): 0.00

---

Record 3
# SrLi8Zn4

A relaxed structure of SrLi8Zn4 (PBE, the Alexandria database).

POSCAR file:
```
SrLi8Zn4
1.0
-4.813 4.813 2.655
4.813 -4.813 2.655
4.813 4.813 -2.655
Sr Li Zn
1 8 4
direct
0.000 0.000 0.000
0.000 0.350 0.350
0.000 0.650 0.650
0.267 0.500 0.767
0.350 0.000 0.350
0.500 0.267 0.767
0.500 0.733 0.233
0.650 0.000 0.650
0.733 0.500 0.233
0.000 0.000 0.500
0.000 0.500 0.000
0.500 0.000 0.000
0.500 0.500 0.500
```

Output
Formation energy (kJ/mol of formula units): -166.9
Calculated density (g/cm3): 2.7
Total DFT energy (no corrections) (eV per atom): -1.832
Total magnetic moment (μB per cell): 0.00

---

Record 4
# Sr2Li3Zn

A relaxed structure of Sr2Li3Zn (PBE, the Alexandria database).

POSCAR file:
```
Sr2Li3Zn
1.0
5.413 -3.054 0.000
5.413 3.054 0.000
-3.644 0.000 5.211
Sr Li Zn
2 3 1
direct
0.125 0.125 0.379
0.875 0.875 0.621
0.000 0.500 0.000
0.500 0.000 0.000
0.500 0.500 0.000
0.500 0.500 0.500
```

Output
Formation energy (kJ/mol of formula units): -16.9
Calculated density (g/cm3): 2.5
Total DFT energy (no corrections) (eV per atom): -1.759
Total magnetic moment (μB per cell): 0.00

---

Record 5
# Sr4Li2Zn

A relaxed structure of Sr4Li2Zn (PBE, the Alexandria database).

POSCAR file:
```
Sr4Li2Zn
1.0
-3.012 3.012 8.791
3.012 -3.012 8.791
3.012 3.012 -8.791
Sr Li Zn
4 2 1
direct
0.000 0.500 0.500
0.183 0.183 0.000
0.500 0.000 0.500
0.817 0.817 0.000
0.386 0.386 0.000
0.614 0.614 0.000
0.000 0.000 0.000
```

Output
Formation energy (kJ/mol of formula units): 78.9
Calculated density (g/cm3): 2.2
Total DFT energy (no corrections) (eV per atom): -1.573
Total magnetic moment (μB per cell): 0.00

---

Record 6
# Sr4LiZn

A relaxed structure of Sr4LiZn (PBE, the Alexandria database).

POSCAR file:
```
Sr4LiZn
1.0
4.037 -4.037 0.000
4.037 4.037 0.000
-0.010 0.000 8.126
Sr Li Zn
4 1 1
direct
0.000 0.500 0.237
0.000 0.500 0.763
0.500 0.000 0.237
0.500 0.000 0.763
0.000 0.000 0.500
0.500 0.500 0.000
```

Output
Formation energy (kJ/mol of formula units): 49.7
Calculated density (g/cm3): 2.7
Total DFT energy (no corrections) (eV per atom): -1.567
Total magnetic moment (μB per cell): 0.00

---

Record 7
# SrLi2Zn

A relaxed structure of SrLi2Zn (PBE, the Alexandria database).

POSCAR file:
```
SrLi2Zn
1.0
-2.330 2.330 4.634
2.330 -2.330 4.634
2.330 2.330 -4.634
Sr Li Zn
1 2 1
direct
0.000 0.000 0.000
0.250 0.750 0.500
0.750 0.250 0.500
0.500 0.500 0.000
```

Output
Formation energy (kJ/mol of formula units): 4.4
Calculated density (g/cm3): 2.8
Total DFT energy (no corrections) (eV per atom): -1.685
Total magnetic moment (μB per cell): 0.00

---

Record 8
# SrLi6Zn4

A relaxed structure of SrLi6Zn4 (PBE, the Alexandria database).

POSCAR file:
```
SrLi6Zn4
1.0
7.497 0.000 0.000
-3.749 6.493 0.000
0.000 0.000 4.453
Sr Li Zn
1 6 4
direct
0.000 0.000 0.000
0.206 0.412 0.500
0.206 0.794 0.500
0.535 0.070 0.000
0.535 0.465 0.000
0.588 0.794 0.500
0.930 0.465 0.000
0.333 0.667 0.000
0.429 0.215 0.500
0.785 0.215 0.500
0.785 0.571 0.500
```

Output
Formation energy (kJ/mol of formula units): -117.2
Calculated density (g/cm3): 3.0
Total DFT energy (no corrections) (eV per atom): -1.770
Total magnetic moment (μB per cell): 0.00